Record 1
Here is Ca2YRe at its PBEsol-relaxed geometry from Alexandria. Energies are from meta-GGA SCAN.

Density: 5.826 g cm⁻³
Energy relative to the elements: 0.807 eV/atom
DOS at the Fermi energy: 3.19 states/eV/f.u.
Energy above the lowest structure with this stoichiometry: 67.8 meV per atom

Cell lengths 3.2454, 3.2454, 33.3008 Å; angles 90.00, 90.00, 120.00 degrees
With the nearest neighbours (Å) after each atom.
Space group R-3m (No. 166, hexagonal axes)
Inequivalent atoms, fractional coordinates:
Ca (0.0000, 0.0000, 0.2353) [6 per cell]  3 Re 2.96, 6 Ca 3.25
Y (0.0000, 0.0000, 0.0000) [3 per cell]  6 Y 3.25
Re (0.0000, 0.0000, 0.5000) [3 per cell]  6 Ca 2.96, 6 Re 3.25


Record 2
Here is AlCdCo at its PBEsol-relaxed geometry from Alexandria. Energies are from meta-GGA SCAN.

Density: 7.284 g cm⁻³
Energy relative to the elements: 0.140 eV/atom
DOS at the Fermi energy: 1.98 states/eV/f.u.
Energy above the lowest structure with this stoichiometry: 198.9 meV per atom

Cell lengths 2.8398, 2.8398, 6.4736 Å; angles 90.00, 90.00, 120.00 degrees
With the nearest neighbours (Å) after each atom.
Space group P3m1 (No. 156)
Inequivalent atoms, fractional coordinates:
Al (0.0000, 0.0000, 0.0000) [1 per cell]  3 Co 2.39
Cd (0.3333, 0.6667, 0.6037) [1 per cell]  3 Co 2.72, 6 Cd 2.84
Co (0.6667, 0.3333, 0.2689) [1 per cell]  3 Al 2.39


Record 3
Here is CsTiH10C4O13 at its PBEsol-relaxed geometry from Alexandria. Energies are from meta-GGA SCAN.

Density: 2.581 g cm⁻³
Electronic total energy: -8.598 eV/atom

Cell lengths 6.5934, 11.3281, 7.7591 Å; angles 90.00, 97.12, 90.00 degrees
With the nearest neighbours (Å) after each atom.
Space group P2_1/m (No. 11)
Inequivalent atoms, fractional coordinates:
Cs (0.0354, 0.2500, 0.2145) [2 per cell]  10 O 3.10-3.47, 4 H 3.23-3.38
Ti (0.3278, 0.2500, 0.7181) [2 per cell]  7 O 2.03-2.11
H (0.0528, 0.6733, 0.3636) [4 per cell]  1 O 1.03
H (0.1840, 0.5353, 0.2240) [4 per cell]  1 O 1.00
H (0.2255, 0.5097, 0.4294) [4 per cell]  1 O 0.99
H (0.3428, 0.6763, 0.0707) [4 per cell]  1 O 1.01
H (0.4833, 0.6799, 0.5638) [4 per cell]  1 O 1.02
C (0.2745, 0.0286, 0.9088) [4 per cell]  2 O 1.27
C (0.3336, 0.5111, 0.7366) [4 per cell]  2 O 1.25-1.29
O (0.0273, 0.2500, 0.6217) [2 per cell]  2 H 1.03
O (0.1244, 0.5419, 0.3366) [4 per cell]  2 H 0.99-1.00
O (0.2513, 0.5451, 0.0273) [4 per cell]  1 C 1.27
O (0.2521, 0.1401, 0.9200) [4 per cell]  1 C 1.27
O (0.3543, 0.6179, 0.7027) [4 per cell]  1 C 1.25
O (0.3550, 0.0759, 0.6334) [4 per cell]  1 C 1.29
O (0.3889, 0.7500, 0.1377) [2 per cell]  2 H 1.01
O (0.4480, 0.2500, 0.4863) [2 per cell]  2 H 1.02


Record 4
Here is In2CoSe at its PBEsol-relaxed geometry from Alexandria. Energies are from meta-GGA SCAN.

Formation energy (no corrections): 0.449 eV/atom
Density: 8.112 g cm⁻³
DOS at the Fermi energy: 2.26 states/eV/f.u.

Cell lengths 4.2131, 4.2131, 8.4768 Å; angles 90.00, 90.00, 90.00 degrees
With the nearest neighbours (Å) after each atom.
Space group I-4m2 (No. 119)
Inequivalent atoms, fractional coordinates:
In (0.0000, 0.0000, 0.0000) [2 per cell]  4 Se 2.98, 4 In 2.99, 4 Co 2.99
In (0.0000, 0.5000, 0.2500) [2 per cell]  4 Co 2.98, 4 In 2.99, 4 Se 2.99
Co (0.0000, 0.5000, 0.7500) [2 per cell]  8 In 2.98-2.99, 4 Se 2.99
Se (0.0000, 0.0000, 0.5000) [2 per cell]  8 In 2.98-2.99, 4 Co 2.99


Record 5
Here is Zr2PbBr at its PBEsol-relaxed geometry from Alexandria. Energies are from meta-GGA SCAN.

Formation energy (no corrections): -0.350 eV/atom
Density: 8.591 g cm⁻³
DOS at the Fermi energy: 2.88 states/eV/f.u.

Cell lengths 10.3906, 3.2897, 5.4058 Å; angles 90.00, 100.79, 90.00 degrees
With the nearest neighbours (Å) after each atom.
Space group Cm (No. 8)
Inequivalent atoms, fractional coordinates:
Zr (0.0000, 0.0000, 0.0000) [2 per cell]  2 Br 2.75, 3 Pb 2.96-3.08
Zr (0.2382, 0.5000, 0.3102) [2 per cell]  3 Br 2.82-2.96
Pb (0.2503, 0.0000, 0.8150) [2 per cell]  7 Zr 2.96-3.17, 2 Pb 3.29
Br (0.4795, 0.0000, 0.3991) [2 per cell]  5 Zr 2.75-2.96


Record 6
Here is BaRePb at its PBEsol-relaxed geometry from Alexandria. Energies are from meta-GGA SCAN.

Density: 11.801 g cm⁻³
Energy relative to the elements: 1.072 eV/atom
DOS at the Fermi energy: 3.07 states/eV/f.u.
Energy above the lowest structure with this stoichiometry: 0.0 meV per atom

Cell lengths 5.3072, 5.3072, 3.0615 Å; angles 90.00, 90.00, 120.00 degrees
With the nearest neighbours (Å) after each atom.
Space group P-6m2 (No. 187)
Inequivalent atoms, fractional coordinates:
Ba (0.0000, 0.0000, 0.0000) [1 per cell]  2 Ba 3.06, 6 Re 3.43, 6 Pb 3.43
Re (0.6667, 0.3333, 0.5000) [1 per cell]  2 Re 3.06, 3 Pb 3.06, 6 Ba 3.43
Pb (0.3333, 0.6667, 0.5000) [1 per cell]  2 Pb 3.06, 3 Re 3.06, 6 Ba 3.43


Record 7
Here is GeMoIO2 at its PBEsol-relaxed geometry from Alexandria. Energies are from meta-GGA SCAN.

Formation energy (no corrections): -0.490 eV/atom
Density: 6.151 g cm⁻³
DOS at the Fermi energy: 3.01 states/eV/f.u.
Energy above the lowest structure with this stoichiometry: 0.0 meV per atom

Cell lengths 3.9088, 3.9088, 5.7865 Å; angles 90.00, 90.00, 90.00 degrees
With the nearest neighbours (Å) after each atom.
Space group P4/mmm (No. 123)
Inequivalent atoms, fractional coordinates:
Ge (0.0000, 0.0000, 0.0000) [1 per cell]  4 I 2.76
Mo (0.5000, 0.5000, 0.5000) [1 per cell]  4 O 1.95
I (0.5000, 0.5000, 0.0000) [1 per cell]  4 Ge 2.76, 2 Mo 2.89
O (0.0000, 0.5000, 0.5000) [2 per cell]  2 Mo 1.95


Record 8
Here is FeAsAu2 at its PBEsol-relaxed geometry from Alexandria. Energies are from meta-GGA SCAN.

Density: 13.862 g cm⁻³
Energy relative to the elements: 0.106 eV/atom
DOS at the Fermi energy: 2.09 states/eV/f.u.

Cell lengths 2.8983, 2.8983, 25.9216 Å; angles 90.00, 90.00, 120.00 degrees
With the nearest neighbours (Å) after each atom.
Space group R3m (No. 160, hexagonal axes)
Inequivalent atoms, fractional coordinates:
Fe (0.0000, 0.0000, 0.0000) [3 per cell]  3 As 2.36
As (0.0000, 0.0000, 0.7309) [3 per cell]  3 Fe 2.36
Au (0.0000, 0.0000, 0.2533) [3 per cell]  3 Fe 2.67, 9 Au 2.90-2.91
Au (0.0000, 0.0000, 0.4949) [3 per cell]  9 Au 2.90-2.91, 3 As 3.03